#one
{
  "formula": "Li4MnCo2O7",
  "functional": "GGA-PBEsol",
  "state": "relaxed",
  "lattice": [[4.8732, -0.0269, 0.0261], [0.8306, 6.2790, -0.0343], [1.6002, 0.3331, 7.3095]],
  "species": ["Mn", "Mn", "Co", "Co", "Co", "Co", "O", "O", "O", "O", "O", "O", "O", "O", "O", "O", "O", "O", "O", "O", "Li", "Li", "Li", "Li", "Li", "Li", "Li", "Li"],
  "frac_coords": [[0.0006, 0.9990, 0.9996], [0.5745, 0.8514, 0.8504], [0.2848, 0.4300, 0.4302], [0.4291, 0.1415, 0.1424], [0.7129, 0.5742, 0.5733], [0.8562, 0.2862, 0.2869], [0.6828, 0.1258, 0.9049], [0.7988, 0.8513, 0.6191], [0.5349, 0.4034, 0.1933], [0.4032, 0.6945, 0.4663], [0.2529, 0.9987, 0.7712], [0.1060, 0.2692, 0.0499], [0.9622, 0.5498, 0.3387], [0.8799, 0.7377, 0.9666], [0.0309, 0.4342, 0.6608], [0.7507, 0.0189, 0.2371], [0.6087, 0.3096, 0.5191], [0.4825, 0.5862, 0.8167], [0.3173, 0.8709, 0.0945], [0.1811, 0.1611, 0.3744], [0.7984, 0.4353, 0.9173], [0.9320, 0.1471, 0.6372], [0.6415, 0.7080, 0.2227], [0.4899, 0.9908, 0.5010], [0.3495, 0.3023, 0.7754], [0.2149, 0.5665, 0.0696], [0.0779, 0.8475, 0.3731], [0.1458, 0.7090, 0.7082]],
  "dos_at_fermi_per_ev_atom": 0.13
}

#two
{
  "formula": "Li4MnCo2O7",
  "functional": "GGA-PBEsol",
  "state": "relaxed",
  "lattice": [[4.8784, 0.0979, -0.0584], [-1.7221, 5.3968, 0.0641], [-0.7209, -0.4555, 8.4165]],
  "species": ["Li", "Li", "Li", "Li", "Li", "Li", "Li", "Li", "Mn", "Mn", "Co", "Co", "Co", "Co", "O", "O", "O", "O", "O", "O", "O", "O", "O", "O", "O", "O", "O", "O"],
  "frac_coords": [[0.4200, 0.8532, 0.3609], [0.2847, 0.5740, 0.0707], [0.8673, 0.7126, 0.2201], [0.7153, 0.4260, 0.9293], [0.1327, 0.2874, 0.7799], [0.5800, 0.1468, 0.6391], [0.0000, 0.0000, 0.5000], [0.0000, 0.5000, 0.5000], [0.5710, 0.6422, 0.6427], [0.4290, 0.3578, 0.3573], [0.2860, 0.0717, 0.0718], [0.1425, 0.7844, 0.7851], [0.8575, 0.2156, 0.2149], [0.7140, 0.9283, 0.9282], [0.6888, 0.6639, 0.4347], [0.5698, 0.3730, 0.1509], [0.1474, 0.5125, 0.2828], [0.9925, 0.2223, 0.0103], [0.4203, 0.0795, 0.8693], [0.8562, 0.9431, 0.7225], [0.2988, 0.8125, 0.5876], [0.1438, 0.0569, 0.2775], [0.0075, 0.7777, 0.9897], [0.5797, 0.9205, 0.1307], [0.4302, 0.6270, 0.8491], [0.8526, 0.4875, 0.7172], [0.3112, 0.3361, 0.5653], [0.7012, 0.1875, 0.4124]]
}

Of all the structures shown, which is most stable? #two, and #one is the least stable.